(1)
Entry from the Alexandria database: a crystal of ScTl2In relaxed with PBEsol (meta-GGA SCAN).

The structure in POSCAR format:
```
ScTl2In
1.0
-0.498 -1.883 4.831
-0.123 -5.147 0.789
4.025 -2.380 2.295
In Sc Tl
1 1 2
direct
0.500 0.500 0.500 In
0.250 0.250 0.250 Sc
0.000 0.000 0.000 Tl
0.750 0.750 0.750 Tl
```

Results
- formation enthalpy at 0 K (meV/atom) = 10.2

---

(2)
Entry from the Alexandria database: a crystal of La2BeB relaxed with PBEsol (meta-GGA SCAN).

The structure in POSCAR format:
```
La2BeB
1.0
-5.324 -2.746 1.854
4.664 -3.794 -1.782
2.145 3.142 4.985
Be B La
2 2 4
direct
0.500 0.500 0.000 Be
0.750 0.250 0.500 Be
0.000 0.000 0.000 B
0.250 0.750 0.500 B
0.929 0.875 0.554 La
0.321 0.375 0.446 La
0.125 0.679 0.054 La
0.625 0.071 0.946 La
```

Results
- formation enthalpy at 0 K (meV/atom) = 571.7

---

(3)
Entry from the Alexandria database: a crystal of CrOs2W relaxed with PBEsol (meta-GGA SCAN).

The structure in POSCAR format:
```
CrOs2W
1.0
-1.054 -0.921 2.324
1.527 -1.469 1.694
2.692 6.497 5.378
Cr Os W
1 2 1
direct
0.000 0.000 0.000 Cr
0.255 0.255 0.235 Os
0.745 0.745 0.765 Os
0.500 0.500 0.500 W
```

Results
- formation enthalpy at 0 K (meV/atom) = 172.6

---

(4)
Entry from the Alexandria database: a crystal of TlCu3S2 relaxed with PBEsol (meta-GGA SCAN).

The structure in POSCAR format:
```
TlCu3S2
1.0
3.754 0.000 0.000
-1.877 7.128 0.025
0.000 -3.002 7.649
Tl Cu S
2 6 4
direct
0.859 0.718 0.951 Tl
0.141 0.282 0.049 Tl
0.412 0.824 0.361 Cu
0.313 0.627 0.574 Cu
0.057 0.114 0.402 Cu
0.943 0.886 0.598 Cu
0.687 0.373 0.426 Cu
0.588 0.176 0.639 Cu
0.476 0.952 0.775 S
0.524 0.048 0.225 S
0.812 0.625 0.328 S
0.188 0.375 0.672 S
```

Results
- raw formation energy (meV per atom) = -260.1

---

(5)
Entry from the Alexandria database: a crystal of Be2ZnRh relaxed with PBEsol (meta-GGA SCAN).

The structure in POSCAR format:
```
Be2ZnRh
1.0
-2.045 -3.999 -2.054
2.614 -4.227 -0.309
-2.530 -3.215 2.840
Be Zn Rh
4 2 2
direct
0.120 0.005 0.505 Be
0.630 0.995 0.495 Be
0.375 0.505 0.995 Be
0.875 0.495 0.005 Be
0.250 0.500 0.500 Zn
0.500 0.000 0.000 Zn
0.750 0.500 0.500 Rh
0.000 0.000 0.000 Rh
```

Results
- formation enthalpy at 0 K (meV/atom) = -25.0

---

(6)
Entry from the Alexandria database: a crystal of ZrCdOs2 relaxed with PBEsol (meta-GGA SCAN).

The structure in POSCAR format:
```
ZrCdOs2
1.0
3.092 0.000 0.000
0.000 4.548 0.000
-1.546 -2.274 4.782
Cd Os Zr
1 2 1
direct
0.265 0.765 0.530 Cd
0.015 0.015 0.029 Os
0.733 0.233 0.465 Os
0.488 0.488 0.976 Zr
```

Results
- formation enthalpy at 0 K (meV/atom) = 103.9